DFT (GGA-PBE) results for a geometry-optimized KBe3Au structure.

For the formation energy, the calculation gives 225.59 kJ per mole of atoms. As for the energy: -0.773 eV per atom. The relative energy among the computed polymorphs is 9.85 eV per formula unit. Its size of the total moment is 0.00 μB/f.u. As for the volume: 195 Å³ per cell.

It has space group Pm-3m (No. 221), with a = 5.7945 Å, b = 5.7945 Å, c = 5.7945 Å, α = 90.00°, β = 90.00° and γ = 90.00°. The distinct sites, in fractional coordinates, are K at (0.0000, 0.0000, 0.0000), Be at (0.0000, 0.0000, 0.5000) and Au at (0.5000, 0.5000, 0.5000).